Here is a relaxed structure of Pr6SmIn5 from Alexandria. Energies are from GGA-PBE.

POSCAR file:
```
Pr6SmIn5
1.0
-3.893 -2.111 -2.746
-0.083 -6.925 5.443
-7.265 2.678 3.296
Pr Sm In
6 1 5
Cartesian
-5.797 -6.009 2.950
-1.969 -2.930 0.100
-5.445 -0.349 3.043
-5.486 -3.804 5.759
-2.007 -6.107 2.597
-5.755 -2.553 0.234
0.000 0.000 0.000
-3.798 -3.248 2.937
-3.513 0.044 0.003
-0.042 -3.462 2.722
-7.645 0.523 0.547
-7.444 -3.110 3.056
```

Formation enthalpy at 0 K = -0.3812 eV/atom
Total magnetization = 0.0 μB per cell
SG = Cmmm
Raw total energy = -51.663 eV/f.u.